Crystalline KFe2Os at its relaxed geometry. Source: Alexandria via LeMat-Bulk, functional GGA-PBE.

Calculated values
Its crystal system is tetragonal. For the energy relative to the lowest polymorph listed for this composition, the calculation gives 113 meV per atom. For the energy of formation from the pure elements, the calculation gives 815 meV per atom. Its density of states at the Fermi level is 0.90 states/eV/atom. As for the volume: 69.5 Å³ per cell. The value obtained for the energy is -6.50 eV/atom.

Cell and atoms, written as CIF:
```
data_KFe2Os
_cell_length_a 2.744
_cell_length_b 2.744
_cell_length_c 9.223
_cell_angle_alpha 90.00
_cell_angle_beta 90.00
_cell_angle_gamma 90.00
_space_group_name_H-M_alt 'P 1'
_space_group_IT_number 1
loop_
_space_group_symop_operation_xyz
'x,y,z'
loop_
_atom_site_label
_atom_site_fract_x
_atom_site_fract_y
_atom_site_fract_z
Fe1 0.000 0.000 0.934
Fe2 0.000 0.000 0.566
K1 0.500 0.500 0.250
Os1 0.500 0.500 0.750
```